# Cd2BTe, relaxed, DFT GGA-PBEsol
data_Cd2BTe
_symmetry_space_group_name_H-M 'F m -3 m'
_symmetry_Int_Tables_number 225
_symmetry_space_group_name_Hall '-F 4 2 3'
_cell_length_a 6.913
_cell_length_b 6.913
_cell_length_c 6.913
_cell_angle_alpha 90.00
_cell_angle_beta 90.00
_cell_angle_gamma 90.00
loop_
_atom_site_label
_atom_site_type_symbol
_atom_site_fract_x
_atom_site_fract_y
_atom_site_fract_z
Cd1 Cd 0.250 0.250 0.250
B1 B 0.000 0.000 0.000
Te1 Te 0.000 0.000 0.500
# N(E_F) = 9.18 states/eV per cell
# mass density = 7.3 g/cm3
# ΔE_f (raw) = 1.019 eV per atom